[1]
Pa4Se5S2 | PBE | relaxed

Summary:
ΔE_f (raw)	-1.328	eV/atom
theoretical density	6.89	g/cm3
total magnetization	5.07	μB/f.u.
E	-78.3	eV for the cell shown

Cell lengths 11.7337, 11.7337, 7.3759 Å; angles 92.01, 92.01, 19.17 degrees
Closest atoms and distances in Å follow each position.
Element x y z (fractional)
Pa: 0.0164 0.0164 0.2850  3 Se 2.87-2.88, 4 S 2.93-2.97
Pa: 0.3277 0.3277 0.5705  1 S 2.72, 5 Se 2.83-2.86
Pa: 0.6723 0.6723 0.4295  1 S 2.72, 5 Se 2.83-2.86
Pa: 0.9836 0.9836 0.7150  3 Se 2.87-2.88, 4 S 2.93-2.97
Se: 0.1340 0.1340 0.1744  3 Pa 2.83-2.87
Se: 0.2113 0.2113 0.6877  3 Pa 2.85-2.86
Se: 0.5000 0.5000 0.0000  4 Pa 2.88
Se: 0.7887 0.7887 0.3123  3 Pa 2.85-2.86
Se: 0.8660 0.8660 0.8256  3 Pa 2.83-2.87
S: 0.4375 0.4375 0.4509  5 Pa 2.72-2.97, 1 S 2.96
S: 0.5625 0.5625 0.5491  5 Pa 2.72-2.97, 1 S 2.96

=====

[2]
Pa5Se2S5 | PBE | relaxed

Summary:
ΔE_f (raw)	-1.473	eV/atom
theoretical density	8.75	g/cm3
total magnetization	1.13	μB/f.u.
E	-92.8	eV for the cell shown

Cell lengths 7.3080, 7.3080, 10.6202 Å; angles 93.34, 93.34, 29.59 degrees
Closest atoms and distances in Å follow each position.
Element x y z (fractional)
Pa: 0.0000 0.0000 0.0000  4 S 2.74, 2 Se 2.83
Pa: 0.1344 0.1344 0.4980  5 S 2.66-2.76, 1 Se 2.95
Pa: 0.2673 0.2673 0.1666  5 S 2.81-2.82, 2 Se 2.96
Pa: 0.7327 0.7327 0.8334  5 S 2.81-2.82, 2 Se 2.96
Pa: 0.8656 0.8656 0.5020  5 S 2.66-2.76, 1 Se 2.95
Se: 0.0765 0.0765 0.7598  4 Pa 2.83-2.96
Se: 0.9235 0.9235 0.2402  4 Pa 2.83-2.96
S: 0.2952 0.2952 0.6586  5 Pa 2.73-2.81
S: 0.3624 0.3624 0.9407  5 Pa 2.74-2.82
S: 0.5000 0.5000 0.5000  4 Pa 2.66
S: 0.6376 0.6376 0.0593  5 Pa 2.74-2.82
S: 0.7048 0.7048 0.3414  5 Pa 2.73-2.81

=====

[3]
PaSeS2 | PBE | relaxed

Summary:
ΔE_f (raw)	-0.907	eV/atom
theoretical density	7.48	g/cm3
total magnetization	0.01	μB/f.u.
E	-24.9	eV for the cell shown

Cell lengths 3.7910, 3.7910, 5.7793 Å; angles 90.00, 90.00, 90.00 degrees
Closest atoms and distances in Å follow each position.
Element x y z (fractional)
Pa: 0.0000 0.0000 0.0000  8 S 2.88, 2 Se 2.89
Se: 0.0000 0.0000 0.5000  2 Pa 2.89
S: 0.5000 0.5000 0.1844  1 S 2.13
S: 0.5000 0.5000 0.8156  1 S 2.13

=====

[4]
Pa2SeS2 | PBE | relaxed

Summary:
ΔE_f (raw)	-1.460	eV/atom
theoretical density	7.26	g/cm3
total magnetization	0.00	μB/f.u.
E	-38.0	eV for the cell shown

Cell lengths 4.0211, 4.0211, 9.8951 Å; angles 90.42, 90.42, 59.93 degrees
Closest atoms and distances in Å follow each position.
Element x y z (fractional)
Pa: 0.1689 0.1689 0.1679  3 S 2.72, 3 Se 2.85
Pa: 0.8311 0.8311 0.8321  3 S 2.72, 3 Se 2.85
Se: 0.5000 0.5000 0.0000  6 Pa 2.85
S: 0.1625 0.1625 0.6880  3 Pa 2.72
S: 0.8375 0.8375 0.3120  3 Pa 2.72

=====

[5]
Pa5Se5S | PBE | relaxed

Summary:
ΔE_f (raw)	-1.352	eV/atom
theoretical density	9.66	g/cm3
total magnetization	0.88	μB/f.u.
E	-83.9	eV for the cell shown

Cell lengths 6.9406, 6.9406, 7.9925 Å; angles 106.96, 106.96, 48.19 degrees
Closest atoms and distances in Å follow each position.
Element x y z (fractional)
Pa: 0.0000 0.0000 0.0000  2 S 2.83, 4 Se 2.84-2.87
Pa: 0.3358 0.3358 0.1568  1 S 2.75, 5 Se 2.84-2.98
Pa: 0.3394 0.3394 0.6799  1 S 2.71, 5 Se 2.84-2.88
Pa: 0.6606 0.6606 0.3201  1 S 2.71, 5 Se 2.84-2.88
Pa: 0.6642 0.6642 0.8432  1 S 2.75, 5 Se 2.84-2.98
Se: 0.1553 0.1553 0.8099  5 Pa 2.84-2.98
Se: 0.1658 0.1658 0.3429  5 Pa 2.84-2.98
Se: 0.5000 0.5000 0.5000  4 Pa 2.84-2.86
Se: 0.8342 0.8342 0.6571  5 Pa 2.84-2.98
Se: 0.8447 0.8447 0.1901  5 Pa 2.84-2.98
S: 0.5000 0.5000 0.0000  6 Pa 2.71-2.83

=====

[6]
Pa2Se3S2 | PBE | relaxed

Summary:
ΔE_f (raw)	-1.183	eV/atom
theoretical density	7.96	g/cm3
total magnetization	0.49	μB/f.u.
E	-46.0	eV for the cell shown

Cell lengths 10.5771, 10.5771, 10.5771 Å; angles 158.48, 158.48, 30.62 degrees
Closest atoms and distances in Å follow each position.
Element x y z (fractional)
Pa: 0.1331 0.1331 0.0000  1 Se 2.72, 4 S 2.83
Pa: 0.8669 0.8669 0.0000  1 Se 2.72, 4 S 2.83
Se: 0.0000 0.0000 0.0000  2 Pa 2.72
Se: 0.2500 0.7500 0.5000  4 Se 2.79, 4 Pa 3.10
Se: 0.7500 0.2500 0.5000  4 Se 2.79, 4 Pa 3.10
S: 0.3885 0.3885 0.0000  4 Pa 2.83
S: 0.6115 0.6115 0.0000  4 Pa 2.83

=====

[7]
PaSeS | PBE | relaxed

Summary:
ΔE_f (raw)	-1.440	eV/atom
theoretical density	7.60	g/cm3
total magnetization	1.02	μB/f.u.
E	-21.4	eV for the cell shown

Cell lengths 4.7288, 4.7288, 4.7288 Å; angles 60.00, 60.00, 60.00 degrees
Closest atoms and distances in Å follow each position.
Element x y z (fractional)
Pa: 0.0000 0.0000 0.0000  4 Se 2.90, 4 S 2.90
Se: 0.7500 0.7500 0.7500  4 Pa 2.90
S: 0.2500 0.2500 0.2500  4 Pa 2.90

=====

[8]
Pa2SeS2 | PBE | relaxed

Summary:
ΔE_f (raw)	-1.489	eV/atom
theoretical density	7.74	g/cm3
total magnetization	0.00	μB/f.u.
E	-38.2	eV for the cell shown

Cell lengths 7.0178, 7.0178, 7.0178 Å; angles 147.61, 135.03, 56.50 degrees
Closest atoms and distances in Å follow each position.
Element x y z (fractional)
Pa: 0.1688 0.1688 0.0000  4 S 2.68-2.77, 2 Se 2.86
Pa: 0.8312 0.8312 0.0000  4 S 2.68-2.77, 2 Se 2.86
Se: 0.0000 0.5000 0.5000  4 Pa 2.86
S: 0.3275 0.8275 0.5000  4 Pa 2.68-2.77
S: 0.6725 0.1725 0.5000  4 Pa 2.68-2.77

=====

[9]
Pa2SeS | PBE | relaxed

Summary:
ΔE_f (raw)	-1.415	eV/atom
theoretical density	10.64	g/cm3
total magnetization	0.00	μB/f.u.
E	-32.3	eV for the cell shown

Cell lengths 6.9950, 6.9950, 6.9950 Å; angles 32.81, 32.81, 32.81 degrees
Closest atoms and distances in Å follow each position.
Element x y z (fractional)
Pa: 0.2417 0.2417 0.2417  3 S 2.72, 3 Se 2.92
Pa: 0.7583 0.7583 0.7583  3 S 2.72, 3 Se 2.92
Se: 0.0000 0.0000 0.0000  6 Pa 2.92
S: 0.5000 0.5000 0.5000  6 Pa 2.72

=====

[10]
Pa4Se5S | PBE | relaxed

Summary:
ΔE_f (raw)	-1.393	eV/atom
theoretical density	8.32	g/cm3
total magnetization	1.57	μB/f.u.
E	-73.5	eV for the cell shown

Cell lengths 8.9532, 8.9532, 7.9131 Å; angles 103.10, 103.10, 25.92 degrees
Closest atoms and distances in Å follow each position.
Element x y z (fractional)
Pa: 0.0027 0.0027 0.2666  2 S 2.74, 4 Se 2.84-2.91
Pa: 0.3400 0.3400 0.4165  1 S 2.71, 5 Se 2.83-2.91
Pa: 0.6600 0.6600 0.5835  1 S 2.71, 5 Se 2.83-2.91
Pa: 0.9973 0.9973 0.7334  2 S 2.74, 4 Se 2.84-2.91
Se: 0.1642 0.1642 0.8372  3 Pa 2.83-2.84
Se: 0.1712 0.1712 0.3243  4 Pa 2.87-2.91
Se: 0.5000 0.5000 0.0000  4 Pa 2.91
Se: 0.8288 0.8288 0.6757  4 Pa 2.87-2.91
Se: 0.8358 0.8358 0.1628  3 Pa 2.83-2.84
S: 0.5000 0.5000 0.5000  6 Pa 2.71-2.74

=====

[11]
Pa2SeS | PBE | relaxed

Summary:
ΔE_f (raw)	-1.043	eV/atom
theoretical density	11.31	g/cm3
total magnetization	1.96	μB/f.u.
E	-30.8	eV for the cell shown

Cell lengths 4.9181, 4.9181, 4.9181 Å; angles 60.00, 60.00, 60.00 degrees
Closest atoms and distances in Å follow each position.
Element x y z (fractional)
Pa: 0.2500 0.2500 0.2500  4 S 3.01, 4 Se 3.01
Pa: 0.7500 0.7500 0.7500  4 S 3.01, 4 Se 3.01
Se: 0.0000 0.0000 0.0000  8 Pa 3.01
S: 0.5000 0.5000 0.5000  8 Pa 3.01

=====

[12]
PaSeS | PBE | relaxed

Summary:
ΔE_f (raw)	-1.231	eV/atom
theoretical density	8.23	g/cm3
total magnetization	0.85	μB/f.u.
E	-20.8	eV for the cell shown

Cell lengths 4.5454, 4.5454, 3.8595 Å; angles 90.00, 90.00, 120.00 degrees
Closest atoms and distances in Å follow each position.
Element x y z (fractional)
Pa: 0.0000 0.0000 0.0000  3 S 2.62
Se: 0.6667 0.3333 0.5000  6 Pa 3.26, 6 S 3.26
S: 0.3333 0.6667 0.0000  3 Pa 2.62

=====

[13]
PaSeS | PBE | relaxed

Summary:
ΔE_f (raw)	-1.407	eV/atom
theoretical density	9.28	g/cm3
total magnetization	0.37	μB/f.u.
E	-21.3	eV for the cell shown

Cell lengths 5.2256, 5.2256, 5.2256 Å; angles 138.84, 138.84, 59.62 degrees
Closest atoms and distances in Å follow each position.
Element x y z (fractional)
Pa: 0.0000 0.0000 0.0000  5 S 2.92-3.20, 5 Se 2.99-3.05
Se: 0.6638 0.6638 0.0000  5 S 2.82-3.11, 5 Pa 2.99-3.05
S: 0.3526 0.3526 0.0000  5 Se 2.82-3.11, 4 Pa 2.92

=====

[14]
Pa4SeS3 | PBE | relaxed

Summary:
ΔE_f (raw)	-1.496	eV/atom
theoretical density	10.54	g/cm3
total magnetization	0.02	μB/f.u.
E	-65.8	eV for the cell shown

Cell lengths 6.8324, 6.8324, 3.9339 Å; angles 90.00, 90.00, 109.40 degrees
Closest atoms and distances in Å follow each position.
Element x y z (fractional)
Pa: 0.2333 0.2333 0.5000  4 S 2.70-2.79, 2 Se 2.88
Pa: 0.2417 0.7583 0.0000  5 S 2.70-2.79, 1 Se 2.88
Pa: 0.7583 0.2417 0.0000  5 S 2.70-2.79, 1 Se 2.88
Pa: 0.7667 0.7667 0.5000  4 S 2.70-2.79, 2 Se 2.88
Se: 0.5000 0.5000 0.0000  6 Pa 2.88
S: 0.0000 0.0000 0.0000  6 Pa 2.70
S: 0.0000 0.5000 0.5000  6 Pa 2.79
S: 0.5000 0.0000 0.5000  6 Pa 2.79